Entry from Alexandria: LaMn2F at its PBEsol-relaxed geometry (meta-GGA SCAN).

a b c (Å): 4.467 4.467 4.467
angles (deg): 60.00 60.00 60.00
Each line ends with the local moment (μB).
Fractional positions:
F 0.000 0.000 0.000  0.10
Mn 0.750 0.750 0.750  3.57
Mn 0.250 0.250 0.250  3.57
La 0.500 0.500 0.500  -0.31

Results
As for the crystal system: cubic. For the formation energy without anion corrections, the calculation gives 0.121 eV per atom. Its density of states at the Fermi level is 0.950 states/eV per atom.